Density functional theory data (PBE) for a relaxed PrSm2PO8 crystal.

Computed properties:
energy relative to the elements, uncorrected: -29.30 eV per formula unit
calculated volume: 151 Å³/cell

Unit cell a=5.1463 b=5.1463 c=6.5769 alpha=90.00 beta=90.00 gamma=120.00
Each line ends with the local moment (μB).
Sites, in units of the cell vectors:
O1 0.6667 0.3333 0.4630  0.53
O2 0.3089 0.1545 0.8470  0.11
Sm1 0.6667 0.3333 0.1346  0.01
O3 0.6911 0.8455 0.1530  0.11
O4 0.3333 0.6667 0.5370  0.53
Pr1 0.0000 0.0000 0.5000  -0.02
O5 0.8455 0.6911 0.8470  0.11
Sm2 0.3333 0.6667 0.8654  0.01
O6 0.8455 0.1545 0.8470  0.11
O7 0.1545 0.3089 0.1530  0.11
P1 0.0000 0.0000 0.0000  -0.01
O8 0.1545 0.8455 0.1530  0.11